CaCd2TeBr | PBE | relaxed

Lattice parameters (Å, degrees): 5.554 5.956 5.554 90.00 90.00 90.00
Element x y z (fractional)
Ca (0.500, 0.500, 0.500)
Te (0.000, 0.500, 0.000)
Br (0.000, 0.000, 0.000)
Cd (0.000, 0.000, 0.500)
Cd (0.500, 0.000, 0.000)

Values from the calculation:
The uncorrected formation energy is 40 kJ/mol of formula units.

***

Ce4Pd15Au | PBE | relaxed

Lattice parameters (Å, degrees): 4.148 4.148 20.416 90.00 90.00 90.00
Site moments in Bohr magnetons follow the coordinates.
Element x y z (fractional)
Ce (0.000, 0.000, 0.191)  0.17
Ce (0.000, 0.000, 0.398)  0.41
Ce (0.000, 0.000, 0.602)  0.41
Ce (0.000, 0.000, 0.809)  0.17
Pd (0.500, 0.500, 0.000)  -0.01
Pd (0.500, 0.500, 0.197)  -0.01
Pd (0.500, 0.500, 0.398)  -0.02
Pd (0.500, 0.500, 0.602)  -0.02
Pd (0.500, 0.500, 0.803)  -0.01
Pd (0.500, 0.000, 0.097)  -0.01
Pd (0.500, 0.000, 0.297)  -0.01
Pd (0.500, 0.000, 0.500)  -0.02
Pd (0.500, 0.000, 0.703)  -0.01
Pd (0.500, 0.000, 0.903)  -0.01
Pd (0.000, 0.500, 0.097)  -0.01
Pd (0.000, 0.500, 0.297)  -0.01
Pd (0.000, 0.500, 0.500)  -0.02
Pd (0.000, 0.500, 0.703)  -0.01
Pd (0.000, 0.500, 0.903)  -0.01
Au (0.000, 0.000, 0.000)  0.00

Values from the calculation:
The calculated formation energy is -684 meV per atom.

***

BaCaCu2 | PBE | relaxed

Lattice parameters (Å, degrees): 6.502 6.502 4.373 89.99 89.99 38.81
Element x y z (fractional)
Ca (0.751, 0.751, 0.876)
Ba (0.477, 0.477, 0.376)
Cu (0.085, 0.085, 0.874)
Cu (0.187, 0.187, 0.374)

Values from the calculation:
The calculation puts the offset from the most stable computed form at 0.000 eV per atom. The calculated formation energy is -56 meV per atom.

***

NaCuMo2 | PBE | relaxed

Lattice parameters (Å, degrees): 4.430 4.430 4.430 60.00 60.00 60.00
Element x y z (fractional)
Na (0.000, 0.000, 0.000)
Mo (0.250, 0.250, 0.250)
Mo (0.750, 0.750, 0.750)
Cu (0.500, 0.500, 0.500)

Values from the calculation:
The calculation puts the offset from the most stable computed form at 0.216 eV per atom. The calculated formation energy is 1216 meV per atom.

***

FeTe2Ru | PBE | relaxed

Lattice parameters (Å, degrees): 7.867 7.867 7.867 24.72 24.72 24.72
Site moments in Bohr magnetons follow the coordinates.
Element x y z (fractional)
Fe (0.250, 0.250, 0.250)  2.22
Ru (0.750, 0.750, 0.750)  -0.61
Te (0.997, 0.997, 0.997)  -0.04
Te (0.503, 0.503, 0.503)  -0.04

Values from the calculation:
The calculation puts the offset from the most stable computed form at 0.342 eV per atom. The uncorrected formation energy is 122 kJ/mol of formula units.

***

InGa2F6 | PBE | relaxed

Lattice parameters (Å, degrees): 5.590 6.960 6.960 86.05 77.92 77.92
Element x y z (fractional)
In (0.250, 0.172, 0.828)
In (0.750, 0.828, 0.172)
Ga (0.360, 0.583, 0.822)
Ga (0.140, 0.178, 0.417)
Ga (0.640, 0.417, 0.178)
Ga (0.860, 0.822, 0.583)
F (0.578, 0.674, 0.600)
F (0.922, 0.400, 0.326)
F (0.422, 0.326, 0.400)
F (0.078, 0.600, 0.674)
F (0.802, 0.110, 0.558)
F (0.698, 0.442, 0.890)
F (0.198, 0.890, 0.442)
F (0.302, 0.558, 0.110)
F (0.185, 0.853, 0.887)
F (0.315, 0.113, 0.147)
F (0.815, 0.147, 0.113)
F (0.685, 0.887, 0.853)

Values from the calculation:
The calculation puts the offset from the most stable computed form at 0.114 eV per atom. The uncorrected formation energy is -1808 kJ/mol of formula units.

***

Ca2CuHgAs | PBE | relaxed

Lattice parameters (Å, degrees): 5.581 5.254 5.581 90.00 90.00 90.00
Element x y z (fractional)
As (0.000, 0.000, 0.000)
Ca (0.000, 0.000, 0.500)
Ca (0.500, 0.000, 0.000)
Hg (0.000, 0.500, 0.000)
Cu (0.500, 0.500, 0.500)

Values from the calculation:
The calculation puts the offset from the most stable computed form at 0.118 eV per atom. The calculated formation energy is -56 meV per atom.

***

SmBePd2 | PBE | relaxed

Lattice parameters (Å, degrees): 4.127 4.127 5.506 67.99 67.99 60.00
Element x y z (fractional)
Be (0.000, 0.000, 0.000)
Pd (0.710, 0.710, 0.869)
Pd (0.290, 0.290, 0.131)
Sm (0.500, 0.500, 0.500)

Values from the calculation:
The calculation puts the offset from the most stable computed form at 0.085 eV per atom. The calculated formation energy is -624 meV per atom.

***

Ti2MnTc | PBE | relaxed

Lattice parameters (Å, degrees): 3.064 4.322 4.322 90.00 90.00 90.00
Site moments in Bohr magnetons follow the coordinates.
Element x y z (fractional)
Mn (0.500, 0.000, 0.000)  1.39
Tc (0.500, 0.500, 0.500)  0.20
Ti (0.000, 0.000, 0.500)  -0.23
Ti (0.000, 0.500, 0.000)  -0.23

Values from the calculation:
The calculation puts the offset from the most stable computed form at 0.001 eV per atom. The calculated formation energy is -350 meV per atom.

***

KZn2Pb | PBE | relaxed

Lattice parameters (Å, degrees): 4.487 4.487 7.198 71.72 71.72 59.93
Element x y z (fractional)
K (0.488, 0.488, 0.535)
Pb (0.288, 0.288, 0.136)
Zn (0.030, 0.030, 0.910)
Zn (0.694, 0.694, 0.919)

Values from the calculation:
The calculation puts the offset from the most stable computed form at 0.000 eV per atom. The calculated formation energy is 11 meV per atom.

***

Cs2TcOsF | PBE | relaxed

Lattice parameters (Å, degrees): 6.315 4.186 6.315 90.00 90.00 90.00
Site moments in Bohr magnetons follow the coordinates.
Element x y z (fractional)
Cs (0.000, 0.000, 0.500)  0.01
Cs (0.500, 0.000, 0.000)  0.05
Os (0.500, 0.500, 0.500)  2.48
Tc (0.000, 0.000, 0.000)  2.72
F (0.000, 0.500, 0.000)  0.09

Values from the calculation:
The uncorrected formation energy is 622 kJ/mol of formula units.

***

Sc4ZnNi2Pt | PBE | relaxed

Lattice parameters (Å, degrees): 4.589 4.589 7.996 73.33 73.33 60.00
Element x y z (fractional)
Sc (0.376, 0.376, 0.871)
Sc (0.874, 0.874, 0.378)
Sc (0.126, 0.126, 0.622)
Sc (0.624, 0.624, 0.129)
Zn (0.000, 0.000, 0.000)
Ni (0.747, 0.747, 0.758)
Ni (0.253, 0.253, 0.242)
Pt (0.500, 0.500, 0.500)

Values from the calculation:
The calculated formation energy is -657 meV per atom.

***

Sc2CdSb | PBE | relaxed

Lattice parameters (Å, degrees): 10.371 10.371 10.371 18.52 18.52 18.52
Site moments in Bohr magnetons follow the coordinates.
Element x y z (fractional)
Cd (0.502, 0.502, 0.502)  -0.01
Sb (0.747, 0.747, 0.747)  0.00
Sc (0.000, 0.000, 0.000)  0.15
Sc (0.251, 0.251, 0.251)  0.16

Values from the calculation:
The calculation puts the offset from the most stable computed form at 0.366 eV per atom. The uncorrected formation energy is -58 kJ/mol of formula units.